DFT (GGA-PBE) results for an optimized crystal structure of PBr.

The structure belongs to space group P4_2/mnm (No. 136); the cell edges are 8.569, 8.569 and 4.942 Å and the angles 90.00°, 90.00° and 90.00°. Symmetry generates all atoms from P at (0.085, 0.085, 0.000) and Br at (0.140, 0.140, 0.500).

The value obtained for the energy above the most stable polymorph in this dataset is 295.7 meV per atom. As for the uncorrected formation energy: 32 kJ/mol of formula units. Its volume is 45.36 Å³ per atom.